Record 1
Material: TiOsW3
Method: DFT, PBE-GGA
State: relaxed

The structure in POSCAR format:
```
TiOsW3
1.0
4.7339 0.0000 0.0000
0.0000 4.7339 0.0000
0.0000 0.0000 4.7339
Ti Os W
1 1 3
Direct
0.0000 0.0000 0.0000
0.5000 0.5000 0.5000
0.0000 0.5000 0.5000
0.5000 0.0000 0.5000
0.5000 0.5000 0.0000
```

Properties
Formation energy from the elements ... 1.7872 eV/atom
Polymorph energy (0 for the lowest one) ... 0.0 meV/atom

=====

Record 2
Material: ReSi2Pb
Method: DFT, PBE-GGA
State: relaxed

The structure in POSCAR format:
```
ReSi2Pb
1.0
-1.6583 2.5254 4.2010
1.6583 -2.5254 4.2010
1.6583 2.5254 -4.2010
Re Si Pb
1 2 1
Direct
0.0000 0.0000 0.0000
0.2193 0.7193 0.5000
0.4355 0.4355 0.0000
0.7085 0.2085 0.5000
```

Properties
Energy relative to the elements, uncorrected ... 0.74 eV per atom

=====

Record 3
Material: Cs6AuF
Method: DFT, PBE-GGA
State: relaxed

The structure in POSCAR format:
```
Cs6AuF
1.0
4.3836 -7.7996 0.0000
4.3836 7.7996 0.0000
-2.7001 0.0000 8.1718
Cs Au F
6 1 1
Direct
0.0688 0.3549 0.2358
0.2472 0.2472 0.7767
0.3549 0.0688 0.2358
0.6451 0.9312 0.7642
0.7528 0.7528 0.2233
0.9312 0.6451 0.7642
0.5000 0.5000 0.5000
0.0000 0.0000 0.0000
```

Properties
Energy relative to the elements, uncorrected ... -0.70 eV per atom
Polymorph energy (0 for the lowest one) ... 0.0 meV/atom

=====

Record 4
Material: Rb4Pm3HfSe8
Method: DFT, PBE-GGA
State: relaxed

The structure in POSCAR format:
```
Rb4Pm3HfSe8
1.0
4.2363 2.4458 8.0280
-4.2363 2.4458 8.0280
0.0000 -4.8917 8.0280
Rb Pm Hf Se
4 3 1 8
Direct
0.0000 0.0000 0.0000
0.0000 0.5000 0.5000
0.5000 0.0000 0.5000
0.5000 0.5000 0.0000
0.0000 0.0000 0.5000
0.0000 0.5000 0.0000
0.5000 0.0000 0.0000
0.5000 0.5000 0.5000
0.2351 0.2351 0.2351
0.2539 0.7205 0.7205
0.2795 0.2795 0.7461
0.2795 0.7461 0.2795
0.7205 0.2539 0.7205
0.7205 0.7205 0.2539
0.7461 0.2795 0.2795
0.7649 0.7649 0.7649
```

Properties
Energy relative to the elements, uncorrected ... -1.59 eV per atom

=====

Record 5
Material: Sr2Ti3O8
Method: DFT, PBE-GGA
State: relaxed

The structure in POSCAR format:
```
Sr2Ti3O8
1.0
3.8325 0.0000 0.0000
-0.0001 4.0149 0.0000
-0.1038 -0.0437 12.8034
Sr Ti O
2 3 8
Direct
0.0000 0.0000 0.0000
0.0085 0.0035 0.3260
0.4964 0.4922 0.8617
0.5042 0.4963 0.1630
0.5122 0.4987 0.4644
0.0043 0.5491 0.1630
0.0129 0.5482 0.4798
0.4961 0.0421 0.8612
0.5002 0.5323 0.0078
0.5043 0.0417 0.1630
0.5085 0.5356 0.3183
0.5124 0.0486 0.4648
0.9957 0.5414 0.8462
```

Properties
Energy relative to the elements, uncorrected ... -2.97 eV per atom

=====

Record 6
Material: Dy2ErAl
Method: DFT, PBE-GGA
State: relaxed

The structure in POSCAR format:
```
Dy2ErAl
1.0
3.4956 0.0000 0.0000
0.0000 3.4956 0.0000
0.0000 0.0000 9.0100
Dy Er Al
2 1 1
Direct
0.0000 0.0000 0.2155
0.0000 0.0000 0.7845
0.5000 0.5000 0.5000
0.5000 0.5000 0.0000
```

Properties
Formation energy from the elements ... -0.1813 eV/atom
Polymorph energy (0 for the lowest one) ... 18.4 meV/atom

=====

Record 7
Material: CuBiPdAu
Method: DFT, PBE-GGA
State: relaxed

The structure in POSCAR format:
```
CuBiPdAu
1.0
0.0000 3.3267 3.3267
3.3267 0.0000 3.3267
3.3267 3.3267 0.0000
Cu Bi Pd Au
1 1 1 1
Direct
0.0000 0.0000 0.0000
0.7500 0.7500 0.7500
0.5000 0.5000 0.5000
0.2500 0.2500 0.2500
```

Properties
Formation energy from the elements ... -0.0268 eV/atom

=====

Record 8
Material: Ac7Sm2Ho2
Method: DFT, PBE-GGA
State: relaxed

The structure in POSCAR format:
```
Ac7Sm2Ho2
1.0
6.6386 -5.2862 0.0000
6.6386 5.2862 0.0000
-0.8150 0.0000 6.6598
Ac Sm Ho
7 2 2
Direct
0.0000 0.0000 0.0000
0.0883 0.4343 0.2484
0.4343 0.0883 0.2484
0.4509 0.4509 0.7383
0.5491 0.5491 0.2617
0.5657 0.9117 0.7516
0.9117 0.5657 0.7516
0.2008 0.2008 0.7087
0.7992 0.7992 0.2913
0.1737 0.8263 0.5000
0.8263 0.1737 0.5000
```

Properties
Formation energy from the elements ... 0.2552 eV/atom

=====

Record 9
Material: Sr2CrFe
Method: DFT, PBE-GGA
State: relaxed

The structure in POSCAR format:
```
Sr2CrFe
1.0
4.1725 0.0000 0.0000
0.0000 2.4855 5.8545
0.0000 -2.4855 5.8545
Sr Cr Fe
2 1 1
Direct
0.0000 0.0000 0.0000
0.5000 0.2834 0.2834
0.0000 0.6869 0.6869
0.5000 0.5975 0.5975
```

Properties
Formation energy from the elements ... 0.5556 eV/atom
Polymorph energy (0 for the lowest one) ... 0.0 meV/atom

=====

Record 10
Material: SrMgW2
Method: DFT, PBE-GGA
State: relaxed

The structure in POSCAR format:
```
SrMgW2
1.0
-2.0169 2.0169 5.0770
2.0169 -2.0169 5.0770
2.0169 2.0169 -5.0770
Sr Mg W
1 1 2
Direct
0.0000 0.0000 0.0000
0.5000 0.5000 0.0000
0.2500 0.7500 0.5000
0.7500 0.2500 0.5000
```

Properties
Formation energy from the elements ... 1.1381 eV/atom

=====

Record 11
Material: AsOsRu
Method: DFT, PBE-GGA
State: relaxed

The structure in POSCAR format:
```
AsOsRu
1.0
2.8670 0.0000 0.0000
-1.4335 2.4829 0.0000
0.0000 0.0000 6.1393
As Os Ru
1 1 1
Direct
0.0000 0.0000 0.0000
0.6667 0.3333 0.3304
0.3333 0.6667 0.6735
```

Properties
Formation energy from the elements ... 0.2370 eV/atom
Polymorph energy (0 for the lowest one) ... 0.0 meV/atom

=====

Record 12
Material: NdYLuIn
Method: DFT, PBE-GGA
State: relaxed

The structure in POSCAR format:
```
NdYLuIn
1.0
0.0000 3.8766 3.8766
3.8766 0.0000 3.8766
3.8766 3.8766 0.0000
Nd Y Lu In
1 1 1 1
Direct
0.0000 0.0000 0.0000
0.5000 0.5000 0.5000
0.2500 0.2500 0.2500
0.7500 0.7500 0.7500
```

Properties
Formation energy from the elements ... -0.1629 eV/atom

=====

Quick rundown of magnetization, same order as above: 0.00 0.00 0.00 0.00 0.00 0.00 0.00 0.00 2.05 0.00 0.00 0.54 μB/f.u.